# 1
MgTlRe2 PBE relaxed; calculated total energy = -6.577 eV per atom; energy of formation from the pure elements = 246 kJ/mol of formula units; magnetic moment = 0.0 μB per formula unit; mass density = 13.39 g/cm3; excess energy over the best structure of this formula in the dataset = 0.348 eV per atom; space-group type = Cm (8)
1.0
4.752 0.016 0.012
3.656 3.034 0.012
0.889 0.322 5.193
Mg Re Tl
1 2 1
Cartesian
6.930 2.514 3.946
8.256 2.995 0.245
2.446 0.887 1.015
4.721 1.713 2.642

***

# 2
Cs2GaAgPt PBE relaxed; calculated total energy = -2.758 eV per atom; energy of formation from the pure elements = -16 kJ/mol of formula units; magnetic moment = 0.0 μB per formula unit; mass density = 4.82 g/cm3; space-group type = P4/mmm (123)
1.0
-4.647 -3.230 3.662
2.234 -5.902 -2.371
3.117 -0.302 3.689
Cs Ga Ag Pt
2 1 1 1
Cartesian
1.117 -2.951 -1.185
-2.324 -1.615 1.831
1.558 -0.151 1.844
0.352 -4.717 2.490
0.000 0.000 0.000

***

# 3
Ba2NaCuSi PBE relaxed; calculated total energy = -3.028 eV per atom; formation energy from raw total energies = -90.8 meV/atom; magnetic moment = 0.0 μB per formula unit; mass density = 3.61 g/cm3; space-group type = P4/mmm (123)
1.0
-5.087 -2.090 3.145
2.226 -5.922 -0.335
2.148 0.589 3.865
Na Si Ba Cu
1 1 2 1
Cartesian
-0.356 -3.711 3.338
1.074 0.294 1.933
1.113 -2.961 -0.167
-2.543 -1.045 1.573
0.000 0.000 0.000

***

# 4
LaNiPd3 PBE relaxed; calculated total energy = -5.407 eV per atom; energy of formation from the pure elements = -72 kJ/mol of formula units; magnetic moment = 0.5 μB per formula unit; mass density = 8.40 g/cm3; excess energy over the best structure of this formula in the dataset = 0.000 eV per atom; space-group type = Pm-3m (221)
1.0
4.674 0.000 0.000
0.000 4.674 0.000
0.000 0.000 4.674
Ni Pd La
1 3 1
Cartesian
0.000 0.000 0.000
0.000 2.337 0.000
0.000 0.000 2.337
2.337 0.000 0.000
2.337 2.337 2.337

***

# 5
BaFeRh3 PBE relaxed; calculated total energy = -4.371 eV per atom; energy of formation from the pure elements = 1021 kJ/mol of formula units; magnetic moment = 3.9 μB per formula unit; mass density = 6.63 g/cm3; excess energy over the best structure of this formula in the dataset = 1.735 eV per atom; space-group type = Pm-3m (221)
1.0
-1.816 -4.667 -0.165
3.867 -1.602 2.753
-2.617 0.871 4.183
Rh Ba Fe
3 1 1
Cartesian
1.934 -0.801 1.376
-1.308 0.435 2.091
-0.908 -2.333 -0.082
0.000 0.000 0.000
-0.283 -2.699 3.386

***

# 6
Sr3Cd6InGa2 PBE relaxed; calculated total energy = -1.772 eV per atom; energy of formation from the pure elements = -187 kJ/mol of formula units; magnetic moment = 0.0 μB per formula unit; mass density = 5.85 g/cm3; space-group type = P-3m1 (164)
1.0
-2.542 -5.291 0.507
0.880 2.346 -5.332
10.111 -4.905 -0.490
Sr Cd In Ga
3 6 1 2
Cartesian
5.559 -3.022 -3.667
2.890 -4.827 -1.647
0.000 0.000 0.000
1.689 -2.832 -4.222
2.508 -1.382 -1.846
2.941 -0.226 -4.472
5.941 -6.467 -3.468
6.760 -5.017 -1.092
5.508 -7.623 -0.843
5.056 -2.453 -0.245
-0.316 -3.271 -1.492
8.765 -4.578 -3.823

***

# 7
CoMo2Cl PBE relaxed; calculated total energy = -6.713 eV per atom; formation energy from raw total energies = 940.8 meV/atom; magnetic moment = 1.3 μB per formula unit; mass density = 8.18 g/cm3; excess energy over the best structure of this formula in the dataset = 0.663 eV per atom; space-group type = I-4m2 (119)
1.0
5.090 0.038 0.000
2.459 4.457 0.000
-3.775 -2.248 2.571
Mo Co Cl
2 1 1
Cartesian
0.000 0.000 0.000
1.230 2.229 1.286
2.545 0.019 1.286
3.775 2.248 0.000

***

# 8
HoSc2Ge2 PBE relaxed; calculated total energy = -5.909 eV per atom; energy of formation from the pure elements = -296 kJ/mol of formula units; magnetic moment = 0.0 μB per formula unit; mass density = 6.31 g/cm3; space-group type = R-3m (166)
1.0
-4.494 0.199 -1.276
-3.323 -1.558 2.897
-3.020 4.614 2.789
Ho Sc Ge
1 2 2
Cartesian
-1.662 -0.779 1.449
-4.422 0.658 2.828
-6.416 2.597 1.582
-3.650 1.095 0.174
-7.188 2.160 4.236